(1)
Below is CrGeP3 after structural relaxation, with properties calculated at the PBE level.

## Properties
As for the symmetry: Pm-3m. The calculation puts the formation energy from the elements at 0.53 eV per atom. Its crystal system is cubic. The excess energy over the best structure of this formula in the dataset is 0.0000 eV/atom. The size of the total moment comes out at 1.0 μB per cell.

```
data_CrGeP3
_chemical_formula_sum 'Cr1 Ge1 P3'
_symmetry_space_group_name_H-M 'P 1'
_symmetry_Int_Tables_number 1
_cell_length_a 4.475
_cell_length_b 4.475
_cell_length_c 4.475
_cell_angle_alpha 90.00
_cell_angle_beta 90.00
_cell_angle_gamma 90.00
loop_
_symmetry_equiv_pos_as_xyz
'x,y,z'
loop_
_atom_site_label
_atom_site_fract_x
_atom_site_fract_y
_atom_site_fract_z
Cr1 0.000 0.000 0.000
Ge1 0.500 0.500 0.500
P1 0.000 0.000 0.500
P2 0.000 0.500 0.000
P3 0.500 0.000 0.000
```

---

(2)
Below is Cd2SnPd7 after structural relaxation, with properties calculated at the PBE level.

## Properties
As for the symmetry: Cmmm. The calculation puts the formation energy from the elements at 0.11 eV per atom. Its crystal system is orthorhombic. The size of the total moment comes out at 0.0 μB per cell.

```
data_Cd2SnPd7
_chemical_formula_sum 'Cd2 Sn1 Pd7'
_symmetry_space_group_name_H-M 'P 1'
_symmetry_Int_Tables_number 1
_cell_length_a 8.008
_cell_length_b 8.008
_cell_length_c 4.105
_cell_angle_alpha 90.00
_cell_angle_beta 90.00
_cell_angle_gamma 124.90
loop_
_symmetry_equiv_pos_as_xyz
'x,y,z'
loop_
_atom_site_label
_atom_site_fract_x
_atom_site_fract_y
_atom_site_fract_z
Cd1 0.195 0.805 0.000
Cd2 0.805 0.195 0.000
Sn1 0.500 0.500 0.500
Pd1 0.000 0.000 0.000
Pd2 0.219 0.413 0.000
Pd3 0.314 0.686 0.500
Pd4 0.413 0.219 0.000
Pd5 0.587 0.781 0.000
Pd6 0.686 0.314 0.500
Pd7 0.781 0.587 0.000
```

---

(3)
Below is NaSrInF6 after structural relaxation, with properties calculated at the PBE level.

## Properties
As for the symmetry: P-31c. Its crystal system is trigonal. The size of the total moment comes out at 0.4 μB per cell. For the energy relative to the elements, uncorrected, the calculation gives -27.67 eV/f.u.

```
data_NaSrInF6
_chemical_formula_sum 'Na2 Sr2 In2 F12'
_symmetry_space_group_name_H-M 'P 1'
_symmetry_Int_Tables_number 1
_cell_length_a 5.789
_cell_length_b 5.789
_cell_length_c 10.310
_cell_angle_alpha 90.00
_cell_angle_beta 90.00
_cell_angle_gamma 120.00
loop_
_symmetry_equiv_pos_as_xyz
'x,y,z'
loop_
_atom_site_label
_atom_site_fract_x
_atom_site_fract_y
_atom_site_fract_z
Na1 0.333 0.667 0.250
Na2 0.667 0.333 0.750
Sr1 0.000 0.000 0.000
Sr2 0.000 0.000 0.500
In1 0.333 0.667 0.750
In2 0.667 0.333 0.250
F1 0.028 0.362 0.637
F2 0.028 0.666 0.863
F3 0.334 0.362 0.863
F4 0.334 0.972 0.637
F5 0.362 0.028 0.137
F6 0.362 0.334 0.363
F7 0.638 0.666 0.637
F8 0.638 0.972 0.863
F9 0.666 0.028 0.363
F10 0.666 0.638 0.137
F11 0.972 0.334 0.137
F12 0.972 0.638 0.363
```

---

(4)
Below is Y3BiH3 after structural relaxation, with properties calculated at the PBE level.

## Properties
As for the symmetry: Pm-3n. Its crystal system is cubic. The excess energy over the best structure of this formula in the dataset is 0.0211 eV/atom. The size of the total moment comes out at 0.2 μB per cell.

```
data_Y3BiH3
_chemical_formula_sum 'Y6 Bi2 H6'
_symmetry_space_group_name_H-M 'P 1'
_symmetry_Int_Tables_number 1
_cell_length_a 6.283
_cell_length_b 6.283
_cell_length_c 6.283
_cell_angle_alpha 90.00
_cell_angle_beta 90.00
_cell_angle_gamma 90.00
loop_
_symmetry_equiv_pos_as_xyz
'x,y,z'
loop_
_atom_site_label
_atom_site_fract_x
_atom_site_fract_y
_atom_site_fract_z
Y1 0.000 0.250 0.500
Y2 0.000 0.750 0.500
Y3 0.250 0.500 0.000
Y4 0.500 0.000 0.250
Y5 0.500 0.000 0.750
Y6 0.750 0.500 0.000
Bi1 0.000 0.000 0.000
Bi2 0.500 0.500 0.500
H1 0.000 0.500 0.250
H2 0.000 0.500 0.750
H3 0.250 0.000 0.500
H4 0.500 0.250 0.000
H5 0.500 0.750 0.000
H6 0.750 0.000 0.500
```

---

(5)
Below is CeU2S6 after structural relaxation, with properties calculated at the PBE level.

## Properties
As for the symmetry: C2/m. Its crystal system is monoclinic. The size of the total moment comes out at 4.0 μB per cell. For the energy relative to the elements, uncorrected, the calculation gives -12.93 eV/f.u.

```
data_CeU2S6
_chemical_formula_sum 'Ce1 U2 S6'
_symmetry_space_group_name_H-M 'P 1'
_symmetry_Int_Tables_number 1
_cell_length_a 7.220
_cell_length_b 7.220
_cell_length_c 8.926
_cell_angle_alpha 123.70
_cell_angle_beta 123.70
_cell_angle_gamma 41.35
loop_
_symmetry_equiv_pos_as_xyz
'x,y,z'
loop_
_atom_site_label
_atom_site_fract_x
_atom_site_fract_y
_atom_site_fract_z
Ce1 0.000 0.000 0.000
U1 0.181 0.181 0.604
U2 0.819 0.819 0.396
S1 0.038 0.038 0.718
S2 0.256 0.256 0.377
S3 0.368 0.368 0.939
S4 0.632 0.632 0.061
S5 0.744 0.744 0.623
S6 0.962 0.962 0.282
```

---

(6)
Below is Sr3LiPa2As6 after structural relaxation, with properties calculated at the PBE level.

## Properties
As for the symmetry: C2/m. The calculation puts the formation energy from the elements at -0.99 eV per atom. Its crystal system is monoclinic. The size of the total moment comes out at 0.0 μB per cell.

```
data_Sr3LiPa2As6
_chemical_formula_sum 'Sr3 Li1 Pa2 As6'
_symmetry_space_group_name_H-M 'P 1'
_symmetry_Int_Tables_number 1
_cell_length_a 7.397
_cell_length_b 7.397
_cell_length_c 7.493
_cell_angle_alpha 99.38
_cell_angle_beta 99.38
_cell_angle_gamma 119.99
loop_
_symmetry_equiv_pos_as_xyz
'x,y,z'
loop_
_atom_site_label
_atom_site_fract_x
_atom_site_fract_y
_atom_site_fract_z
Sr1 0.000 0.000 0.000
Sr2 0.339 0.661 0.000
Sr3 0.661 0.339 0.000
Li1 0.500 0.500 0.500
Pa1 0.168 0.832 0.500
Pa2 0.832 0.168 0.500
As1 0.078 0.427 0.282
As2 0.224 0.224 0.715
As3 0.427 0.078 0.282
As4 0.573 0.922 0.718
As5 0.776 0.776 0.285
As6 0.922 0.573 0.718
```

---

(7)
Below is CePuRh3 after structural relaxation, with properties calculated at the PBE level.

## Properties
As for the symmetry: R3c. The calculation puts the formation energy from the elements at -0.20 eV per atom. Its crystal system is trigonal. The excess energy over the best structure of this formula in the dataset is 0.3773 eV/atom. The size of the total moment comes out at 10.5 μB per cell.

```
data_CePuRh3
_chemical_formula_sum 'Ce2 Pu2 Rh6'
_symmetry_space_group_name_H-M 'P 1'
_symmetry_Int_Tables_number 1
_cell_length_a 6.362
_cell_length_b 6.362
_cell_length_c 6.362
_cell_angle_alpha 66.88
_cell_angle_beta 66.88
_cell_angle_gamma 66.88
loop_
_symmetry_equiv_pos_as_xyz
'x,y,z'
loop_
_atom_site_label
_atom_site_fract_x
_atom_site_fract_y
_atom_site_fract_z
Ce1 0.000 0.000 0.000
Ce2 0.500 0.500 0.500
Pu1 0.192 0.192 0.192
Pu2 0.692 0.692 0.692
Rh1 0.077 0.465 0.479
Rh2 0.465 0.479 0.077
Rh3 0.479 0.077 0.465
Rh4 0.577 0.979 0.965
Rh5 0.965 0.577 0.979
Rh6 0.979 0.965 0.577
```

---

(8)
Below is CaMg2Hg6 after structural relaxation, with properties calculated at the PBE level.

## Properties
As for the symmetry: C2/c. The calculation puts the formation energy from the elements at -0.22 eV per atom. Its crystal system is monoclinic. The excess energy over the best structure of this formula in the dataset is 0.0000 eV/atom. The size of the total moment comes out at 0.0 μB per cell.

```
data_CaMg2Hg6
_chemical_formula_sum 'Ca2 Mg4 Hg12'
_symmetry_space_group_name_H-M 'P 1'
_symmetry_Int_Tables_number 1
_cell_length_a 8.574
_cell_length_b 8.574
_cell_length_c 6.374
_cell_angle_alpha 103.21
_cell_angle_beta 103.21
_cell_angle_gamma 89.64
loop_
_symmetry_equiv_pos_as_xyz
'x,y,z'
loop_
_atom_site_label
_atom_site_fract_x
_atom_site_fract_y
_atom_site_fract_z
Ca1 0.136 0.864 0.750
Ca2 0.864 0.136 0.250
Mg1 0.286 0.344 0.634
Mg2 0.344 0.286 0.134
Mg3 0.656 0.714 0.866
Mg4 0.714 0.656 0.366
Hg1 0.027 0.227 0.818
Hg2 0.060 0.459 0.284
Hg3 0.227 0.027 0.318
Hg4 0.343 0.613 0.004
Hg5 0.387 0.657 0.496
Hg6 0.459 0.060 0.784
Hg7 0.541 0.940 0.216
Hg8 0.613 0.343 0.504
Hg9 0.657 0.387 0.996
Hg10 0.773 0.973 0.682
Hg11 0.940 0.541 0.716
Hg12 0.973 0.773 0.182
```

---

(9)
Below is KLiFeSn2 after structural relaxation, with properties calculated at the PBE level.

## Properties
As for the symmetry: P4/mmm. The calculation puts the formation energy from the elements at 0.69 eV per atom. Its crystal system is tetragonal. The size of the total moment comes out at 3.3 μB per cell.

```
data_KLiFeSn2
_chemical_formula_sum 'K1 Li1 Fe1 Sn2'
_symmetry_space_group_name_H-M 'P 1'
_symmetry_Int_Tables_number 1
_cell_length_a 5.067
_cell_length_b 5.067
_cell_length_c 5.121
_cell_angle_alpha 90.00
_cell_angle_beta 90.00
_cell_angle_gamma 90.00
loop_
_symmetry_equiv_pos_as_xyz
'x,y,z'
loop_
_atom_site_label
_atom_site_fract_x
_atom_site_fract_y
_atom_site_fract_z
K1 0.000 0.000 0.000
Li1 0.000 0.000 0.500
Fe1 0.500 0.500 0.000
Sn1 0.000 0.500 0.500
Sn2 0.500 0.000 0.500
```

---

(10)
Below is SbI2BrCl after structural relaxation, with properties calculated at the PBE level.

## Properties
As for the symmetry: P4/mmm. Its crystal system is tetragonal. The excess energy over the best structure of this formula in the dataset is 0.0000 eV/atom. The size of the total moment comes out at 0.8 μB per cell. For the energy relative to the elements, uncorrected, the calculation gives 2.81 eV/f.u.

```
data_SbI2BrCl
_chemical_formula_sum 'Sb1 I2 Br1 Cl1'
_symmetry_space_group_name_H-M 'P 1'
_symmetry_Int_Tables_number 1
_cell_length_a 5.649
_cell_length_b 5.649
_cell_length_c 5.670
_cell_angle_alpha 90.00
_cell_angle_beta 90.00
_cell_angle_gamma 90.00
loop_
_symmetry_equiv_pos_as_xyz
'x,y,z'
loop_
_atom_site_label
_atom_site_fract_x
_atom_site_fract_y
_atom_site_fract_z
Sb1 0.000 0.000 0.000
I1 0.000 0.500 0.500
I2 0.500 0.000 0.500
Br1 0.500 0.500 0.000
Cl1 0.000 0.000 0.500
```

---

(11)
Below is TlTc4W after structural relaxation, with properties calculated at the PBE level.

## Properties
As for the symmetry: F-43m. The calculation puts the formation energy from the elements at 0.51 eV per atom. Its crystal system is cubic. The size of the total moment comes out at 0.0 μB per cell.

```
data_TlTc4W
_chemical_formula_sum 'Tl1 Tc4 W1'
_symmetry_space_group_name_H-M 'P 1'
_symmetry_Int_Tables_number 1
_cell_length_a 5.179
_cell_length_b 5.179
_cell_length_c 5.179
_cell_angle_alpha 60.00
_cell_angle_beta 60.00
_cell_angle_gamma 60.00
loop_
_symmetry_equiv_pos_as_xyz
'x,y,z'
loop_
_atom_site_label
_atom_site_fract_x
_atom_site_fract_y
_atom_site_fract_z
Tl1 0.000 0.000 0.000
Tc1 0.374 0.374 0.374
Tc2 0.374 0.374 0.877
Tc3 0.374 0.877 0.374
Tc4 0.877 0.374 0.374
W1 0.750 0.750 0.750
```

---

(12)
Below is MgCu2RhO after structural relaxation, with properties calculated at the PBE level.

## Properties
As for the symmetry: P4/mmm. Its crystal system is tetragonal. The size of the total moment comes out at 0.0 μB per cell. For the energy relative to the elements, uncorrected, the calculation gives 7.28 eV/f.u.

```
data_MgCu2RhO
_chemical_formula_sum 'Mg1 Cu2 Rh1 O1'
_symmetry_space_group_name_H-M 'P 1'
_symmetry_Int_Tables_number 1
_cell_length_a 4.456
_cell_length_b 4.456
_cell_length_c 4.566
_cell_angle_alpha 90.00
_cell_angle_beta 90.00
_cell_angle_gamma 90.00
loop_
_symmetry_equiv_pos_as_xyz
'x,y,z'
loop_
_atom_site_label
_atom_site_fract_x
_atom_site_fract_y
_atom_site_fract_z
Mg1 0.000 0.000 0.000
Cu1 0.000 0.500 0.000
Cu2 0.500 0.000 0.000
Rh1 0.000 0.000 0.500
O1 0.500 0.500 0.500
```